Material: Cs2Rb5Bi4
Method: DFT, PBE
State: optimized geometry

## Properties
DFT formation energy (meV per atom): -241
Calculated density (g/cm³): 4.032
Magnetization (Bohr magnetons per cell): 0.007
Crystal system: monoclinic
D(E_F) (states/eV per atom): 1.26

Lattice parameters (Å, degrees): 7.695 9.079 11.641 59.86 70.70 64.93
Fractional positions:
Cs 0.243 0.893 0.622
Cs 0.757 0.107 0.378
Rb 0.147 0.277 0.947
Rb 0.853 0.723 0.053
Rb 0.000 0.500 0.500
Rb 0.629 0.277 0.947
Rb 0.371 0.723 0.053
Bi 0.409 0.926 0.257
Bi 0.591 0.074 0.743
Bi 0.773 0.697 0.757
Bi 0.227 0.303 0.243

***

Material: K2ZrPb
Method: DFT, PBE
State: optimized geometry

## Properties
DFT formation energy (meV per atom): 207
Calculated density (g/cm³): 3.471
Magnetization (Bohr magnetons per cell): 0.969
ΔE to the lowest computed polymorph (meV/atom): 17.7
Crystal system: tetragonal
D(E_F) (states/eV per atom): 0.54

Lattice parameters (Å, degrees): 4.123 4.122 10.603 90.00 90.00 90.00
Each line ends with the local moment (μB).
Fractional positions:
K 0.000 0.000 0.939  0.01
K 0.500 0.500 0.310  0.01
Pb 0.000 0.000 0.604  -0.02
Zr 0.500 0.500 0.646  0.49

***

Material: Sr4LiPm3S8
Method: DFT, PBE
State: optimized geometry

## Properties
Calculated density (g/cm³): 4.356
Magnetization (Bohr magnetons per cell): 0.000
Crystal system: trigonal
D(E_F) (states/eV per atom): 0.28
Raw formation energy (meV per atom): -2006

Lattice parameters (Å, degrees): 8.240 8.299 8.241 119.77 120.00 90.00
Fractional positions:
Sr 0.500 0.000 0.000
Sr 0.500 0.000 0.500
Sr 0.000 0.000 0.000
Sr 0.000 0.000 0.500
Li 0.000 0.500 0.000
Pm 0.500 0.500 0.000
Pm 0.500 0.500 0.500
Pm 0.000 0.500 0.500
S 0.245 0.734 0.989
S 0.245 0.734 0.490
S 0.254 0.263 0.509
S 0.744 0.734 0.989
S 0.256 0.266 0.011
S 0.746 0.737 0.491
S 0.755 0.266 0.510
S 0.755 0.266 0.011

***

Let's list uncorrected energy in order: -24.72 -13.62 -88.00 eV/cell.